1.
# Mg9Ga2Pb

An optimized crystal structure of Mg9Ga2Pb (PBE-GGA, Alexandria).

It has space group P4/mmm (No. 123), with a = 4.429 Å, b = 4.429 Å, c = 13.257 Å, α = 90.00°, β = 90.00° and γ = 90.00°. The inequivalent atoms are Mg at (0.000, 0.000, 0.000), Mg at (0.000, 0.000, 0.339), Mg at (0.000, 0.500, 0.180), Mg at (0.000, 0.500, 0.500), Ga at (0.500, 0.500, 0.338) and Pb at (0.500, 0.500, 0.000).

The formation energy is -7 kJ/mol of atoms. The calculation puts the density of states at the Fermi level at 3.7 states/eV/cell. Its total energy is -24.979 eV/f.u.

=====

2.
# Mg3Ga3Pb

An optimized crystal structure of Mg3Ga3Pb (PBE-GGA, Alexandria).

It has space group Pm-3n (No. 223), with a = 7.468 Å, b = 7.468 Å, c = 7.468 Å, α = 90.00°, β = 90.00° and γ = 90.00°. The inequivalent atoms are Mg at (0.000, 0.250, 0.500), Ga at (0.000, 0.500, 0.250) and Pb at (0.000, 0.000, 0.000).

The formation energy is 43 kJ/mol of atoms. The calculation puts the density of states at the Fermi level at 3.7 states/eV/cell. Its total energy is -14.474 eV/f.u.

=====

3.
# MgGa2Pb2

An optimized crystal structure of MgGa2Pb2 (PBE-GGA, Alexandria).

It has space group P4/mbm (No. 127), with a = 7.416 Å, b = 7.416 Å, c = 4.566 Å, α = 90.00°, β = 90.00° and γ = 90.00°. The inequivalent atoms are Mg at (0.000, 0.000, 0.000), Ga at (0.126, 0.374, 0.000) and Pb at (0.179, 0.679, 0.500).

The formation energy is 3 kJ/mol of atoms. The calculation puts the density of states at the Fermi level at 4.1 states/eV/cell. As for the energy above the most stable polymorph in this dataset: 0.00 kcal/mol of atoms. Its total energy is -14.935 eV/f.u.

=====

4.
# Mg5Ga2Pb2

An optimized crystal structure of Mg5Ga2Pb2 (PBE-GGA, Alexandria).

It has space group Cmce (No. 64), with a = 16.894 Å, b = 7.021 Å, c = 7.076 Å, α = 90.00°, β = 90.00° and γ = 90.00°. The inequivalent atoms are Mg at (0.000, 0.000, 0.000), Mg at (0.118, 0.172, 0.327), Ga at (0.000, 0.129, 0.629) and Pb at (0.229, 0.000, 0.000).

The formation energy is -9 kJ/mol of atoms. The calculation puts the density of states at the Fermi level at 17.7 states/eV/cell. Its total energy is -22.298 eV/f.u.

=====

5.
# MgGa2Pb2

An optimized crystal structure of MgGa2Pb2 (PBE-GGA, Alexandria).

It has space group I4/mmm (No. 139), with a = 3.754 Å, b = 3.754 Å, c = 18.231 Å, α = 90.00°, β = 90.00° and γ = 90.00°. The inequivalent atoms are Mg at (0.000, 0.000, 0.000), Ga at (0.000, 0.500, 0.250) and Pb at (0.000, 0.000, 0.396).

The formation energy is 6 kJ/mol of atoms. The calculation puts the density of states at the Fermi level at 5.5 states/eV/cell. As for the energy above the most stable polymorph in this dataset: 0.81 kcal/mol of atoms. Its total energy is -14.760 eV/f.u.

=====

6.
# Mg8GaPb2

An optimized crystal structure of Mg8GaPb2 (PBE-GGA, Alexandria).

It has space group C2/m (No. 12), with a = 18.598 Å, b = 5.065 Å, c = 5.593 Å, α = 90.00°, β = 99.19° and γ = 90.00°. The inequivalent atoms are Mg at (0.042, 0.000, 0.261), Mg at (0.077, 0.500, 0.596), Mg at (0.154, 0.500, 0.133), Mg at (0.246, 0.000, 0.329), Ga at (0.000, 0.500, 0.000) and Pb at (0.164, 0.000, 0.776).

The formation energy is -3 kJ/mol of atoms. The calculation puts the density of states at the Fermi level at 7.6 states/eV/cell. As for the energy above the most stable polymorph in this dataset: 0.29 kcal/mol of atoms. Its total energy is -23.527 eV/f.u.

=====

Question: Among the records above, which one has the highest density of states at the Fermi level?
Answer: Mg5Ga2Pb2

=====

Question: Look up the total energy of the third one.
Answer: -14.935 eV/f.u.

=====

Question: What is the density of states at the Fermi level in the sixth record?
Answer: 7.6 states/eV/cell

=====

Repeat the second record exactly.
# Mg3Ga3Pb

An optimized crystal structure of Mg3Ga3Pb (PBE-GGA, Alexandria).

It has space group Pm-3n (No. 223), with a = 7.468 Å, b = 7.468 Å, c = 7.468 Å, α = 90.00°, β = 90.00° and γ = 90.00°. The inequivalent atoms are Mg at (0.000, 0.250, 0.500), Ga at (0.000, 0.500, 0.250) and Pb at (0.000, 0.000, 0.000).

The formation energy is 43 kJ/mol of atoms. The calculation puts the density of states at the Fermi level at 3.7 states/eV/cell. Its total energy is -14.474 eV/f.u.